Entry 1:
Below is a relaxed structure of Ta3V2W3, with properties calculated at the PBE level.

Results
crystal system	orthorhombic
V	16.3	Å³/atom
electronic total energy	-93.13	eV/cell
total moment	0.001	μB per cell
mass density	15.25	g/cm3
ΔH_f (0 K)	-1.4	kcal/mol of atoms

Lattice parameters (Å, degrees): 9.3091 9.3091 9.3091 160.13 151.61 34.89
Positions (direct):
1 Ta 0.0000 0.0000 0.0000
2 Ta 0.3713 0.8713 0.5000
3 Ta 0.6287 0.1287 0.5000
4 V 0.2466 0.2466 0.0000
5 V 0.7534 0.7534 0.0000
6 W 0.1320 0.6320 0.5000
7 W 0.5000 0.5000 0.0000
8 W 0.8680 0.3680 0.5000

=====

Entry 2:
Below is a relaxed structure of Ta6V5W, with properties calculated at the PBE level.

Results
crystal system	orthorhombic
V	16.2	Å³/atom
electronic total energy	-129.65	eV/cell
total moment	0.001	μB per cell
mass density	13.04	g/cm3
ΔH_f (0 K)	0.0	kcal/mol of atoms

Lattice parameters (Å, degrees): 7.7834 7.7834 7.7834 146.26 131.54 60.34
Positions (direct):
1 Ta 0.0810 0.3324 0.7486
2 Ta 0.2475 0.0000 0.2475
3 Ta 0.4162 0.6676 0.7486
4 Ta 0.5838 0.3324 0.2514
5 Ta 0.7525 0.0000 0.7525
6 Ta 0.9190 0.6676 0.2514
7 V 0.0000 0.5000 0.5000
8 V 0.1670 0.1670 0.0000
9 V 0.3307 0.8307 0.5000
10 V 0.6693 0.1693 0.5000
11 V 0.8330 0.8330 0.0000
12 W 0.5000 0.5000 0.0000

=====

Entry 3:
Below is a relaxed structure of Ta2V3W, with properties calculated at the PBE level.

Results
crystal system	trigonal
V	15.7	Å³/atom
electronic total energy	-64.91	eV/cell
total moment	0.000	μB per cell
mass density	12.29	g/cm3
ΔH_f (0 K)	-3.4	kcal/mol of atoms

Lattice parameters (Å, degrees): 5.1295 5.1295 5.1295 59.54 59.54 59.54
Positions (direct):
1 Ta 0.1245 0.1245 0.1245
2 Ta 0.8755 0.8755 0.8755
3 V 0.0000 0.5000 0.5000
4 V 0.5000 0.0000 0.5000
5 V 0.5000 0.5000 0.0000
6 W 0.5000 0.5000 0.5000

=====

Entry 4:
Below is a relaxed structure of Ta6VW5, with properties calculated at the PBE level.

Results
crystal system	orthorhombic
V	16.9	Å³/atom
electronic total energy	-146.04	eV/cell
total moment	0.006	μB per cell
mass density	16.81	g/cm3
ΔH_f (0 K)	-2.0	kcal/mol of atoms

Lattice parameters (Å, degrees): 7.9203 7.9203 7.9203 146.42 131.77 60.05
Positions (direct):
1 Ta 0.0832 0.3338 0.7494
2 Ta 0.2487 0.0000 0.2487
3 Ta 0.4156 0.6662 0.7494
4 Ta 0.5844 0.3338 0.2506
5 Ta 0.7513 0.0000 0.7513
6 Ta 0.9168 0.6662 0.2506
7 V 0.0000 0.5000 0.5000
8 W 0.1650 0.1650 0.0000
9 W 0.3333 0.8333 0.5000
10 W 0.5000 0.5000 0.0000
11 W 0.6667 0.1667 0.5000
12 W 0.8350 0.8350 0.0000

=====

Entry 5:
Below is a relaxed structure of TaV8W6, with properties calculated at the PBE level.

Results
crystal system	trigonal
V	15.5	Å³/atom
electronic total energy	-159.16	eV/cell
total moment	0.000	μB per cell
mass density	12.05	g/cm3
ΔH_f (0 K)	5.2	kcal/mol of atoms

Lattice parameters (Å, degrees): 6.8087 6.8087 6.8087 62.00 62.00 62.00
Positions (direct):
1 Ta 0.0000 0.0000 0.0000
2 V 0.1235 0.8736 0.6118
3 V 0.1264 0.3882 0.8765
4 V 0.2462 0.2462 0.2462
5 V 0.3882 0.8765 0.1264
6 V 0.6118 0.1235 0.8736
7 V 0.7538 0.7538 0.7538
8 V 0.8736 0.6118 0.1235
9 V 0.8765 0.1264 0.3882
10 W 0.1415 0.6179 0.3820
11 W 0.3820 0.1415 0.6179
12 W 0.3821 0.6180 0.8585
13 W 0.6179 0.3820 0.1415
14 W 0.6180 0.8585 0.3821
15 W 0.8585 0.3821 0.6180

=====

Entry 6:
Below is a relaxed structure of TaV2W3, with properties calculated at the PBE level.

Results
crystal system	monoclinic
V	15.6	Å³/atom
electronic total energy	-138.59	eV/cell
total moment	0.000	μB per cell
mass density	14.79	g/cm3
ΔH_f (0 K)	-1.3	kcal/mol of atoms
offset from the most stable computed form	2.8	meV per atom

Lattice parameters (Å, degrees): 6.3070 3.1420 9.4526 90.00 90.32 90.00
Positions (direct):
1 Ta 0.1199 0.2500 0.2508
2 Ta 0.8801 0.7500 0.7492
3 V 0.1291 0.2500 0.5803
4 V 0.3786 0.7500 0.0804
5 V 0.6214 0.2500 0.9196
6 V 0.8709 0.7500 0.4197
7 W 0.1336 0.2500 0.9201
8 W 0.3739 0.7500 0.4194
9 W 0.3784 0.7500 0.7509
10 W 0.6216 0.2500 0.2491
11 W 0.6261 0.2500 0.5806
12 W 0.8664 0.7500 0.0799

=====

Entry 7:
Below is a relaxed structure of Ta2V5W4, with properties calculated at the PBE level.

Results
crystal system	triclinic
V	15.4	Å³/atom
electronic total energy	-121.31	eV/cell
total moment	0.000	μB per cell
mass density	13.26	g/cm3
ΔH_f (0 K)	-0.4	kcal/mol of atoms

Lattice parameters (Å, degrees): 2.7564 6.7707 9.2153 92.19 95.67 97.90
Positions (direct):
1 Ta 0.0948 0.3177 0.4499
2 Ta 0.9052 0.6823 0.5501
3 V 0.0000 0.5000 0.0000
4 V 0.3735 0.7688 0.8246
5 V 0.4481 0.5864 0.2610
6 V 0.5519 0.4136 0.7390
7 V 0.6265 0.2312 0.1754
8 W 0.1866 0.1415 0.9136
9 W 0.2735 0.9508 0.3564
10 W 0.7265 0.0492 0.6436
11 W 0.8134 0.8585 0.0864

=====

Entry 8:
Below is a relaxed structure of TaV6W, with properties calculated at the PBE level.

Results
crystal system	trigonal
V	14.9	Å³/atom
electronic total energy	-77.56	eV/cell
total moment	0.000	μB per cell
mass density	9.32	g/cm3
ΔH_f (0 K)	5.6	kcal/mol of atoms
offset from the most stable computed form	239.1	meV per atom

Lattice parameters (Å, degrees): 5.4494 5.4494 5.4494 110.54 110.54 110.54
Positions (direct):
1 Ta 0.0000 0.0000 0.0000
2 V 0.2518 0.2518 0.7472
3 V 0.2518 0.7472 0.2518
4 V 0.2528 0.7482 0.7482
5 V 0.7472 0.2518 0.2518
6 V 0.7482 0.2528 0.7482
7 V 0.7482 0.7482 0.2528
8 W 0.5000 0.5000 0.5000

=====

Entry 9:
Below is a relaxed structure of Ta2VW6, with properties calculated at the PBE level.

Results
crystal system	monoclinic
V	16.8	Å³/atom
electronic total energy	-107.51	eV/cell
total moment	0.000	μB per cell
mass density	16.62	g/cm3
ΔH_f (0 K)	7.8	kcal/mol of atoms
offset from the most stable computed form	0.0	meV per atom

Lattice parameters (Å, degrees): 5.7639 5.7639 4.7689 101.62 101.62 92.43
Positions (direct):
1 Ta 0.1721 0.1721 0.1706
2 Ta 0.8279 0.8279 0.8294
3 V 0.5000 0.5000 0.5000
4 W 0.0061 0.6609 0.3328
5 W 0.3327 0.6673 0.0000
6 W 0.3391 0.9939 0.6672
7 W 0.6609 0.0061 0.3328
8 W 0.6673 0.3327 0.0000
9 W 0.9939 0.3391 0.6672

=====

Entry 10:
Below is a relaxed structure of Ta2VW6, with properties calculated at the PBE level.

Results
crystal system	monoclinic
V	17.6	Å³/atom
electronic total energy	-106.43	eV/cell
total moment	0.003	μB per cell
mass density	15.92	g/cm3
ΔH_f (0 K)	10.5	kcal/mol of atoms
offset from the most stable computed form	120.3	meV per atom

Lattice parameters (Å, degrees): 6.8169 6.8169 5.5105 98.29 98.29 38.68
Positions (direct):
1 Ta 0.1035 0.1035 0.4755
2 Ta 0.8965 0.8965 0.5245
3 V 0.0000 0.0000 0.0000
4 W 0.2955 0.2955 0.3352
5 W 0.3038 0.3038 0.8555
6 W 0.4981 0.4981 0.2498
7 W 0.5019 0.5019 0.7502
8 W 0.6962 0.6962 0.1445
9 W 0.7045 0.7045 0.6648

=====

Entry 11:
Below is a relaxed structure of Ta6VW, with properties calculated at the PBE level.

Results
crystal system	orthorhombic
V	17.5	Å³/atom
electronic total energy	-93.15	eV/cell
total moment	0.000	μB per cell
mass density	15.67	g/cm3
ΔH_f (0 K)	0.1	kcal/mol of atoms
offset from the most stable computed form	16.0	meV per atom

Lattice parameters (Å, degrees): 5.6626 5.6626 4.6157 90.00 90.00 109.01
Positions (direct):
1 Ta 0.0000 0.5000 0.5000
2 Ta 0.2472 0.7528 0.0000
3 Ta 0.2504 0.2504 0.0000
4 Ta 0.5000 0.0000 0.5000
5 Ta 0.7496 0.7496 0.0000
6 Ta 0.7528 0.2472 0.0000
7 V 0.0000 0.0000 0.5000
8 W 0.5000 0.5000 0.5000

=====

Entry 12:
Below is a relaxed structure of TaVW, with properties calculated at the PBE level.

Results
crystal system	orthorhombic
V	16.3	Å³/atom
electronic total energy	-68.59	eV/cell
total moment	0.000	μB per cell
mass density	14.09	g/cm3
ΔH_f (0 K)	-2.8	kcal/mol of atoms
offset from the most stable computed form	0.0	meV per atom

Lattice parameters (Å, degrees): 5.1739 5.1739 5.1739 120.68 119.22 90.09
Positions (direct):
1 Ta 0.3750 0.1250 0.2500
2 Ta 0.6250 0.8750 0.7500
3 V 0.0000 0.0000 0.5000
4 V 0.0000 0.5000 0.0000
5 W 0.0000 0.5000 0.5000
6 W 0.5000 0.5000 0.0000

=====

Entry 13:
Below is a relaxed structure of Ta3V9W2, with properties calculated at the PBE level.

Results
crystal system	orthorhombic
V	15.5	Å³/atom
electronic total energy	-138.40	eV/cell
total moment	0.000	μB per cell
mass density	10.45	g/cm3
ΔH_f (0 K)	8.5	kcal/mol of atoms

Lattice parameters (Å, degrees): 7.5551 7.5551 7.5551 146.85 109.29 80.35
Positions (direct):
1 Ta 0.0000 0.0000 0.0000
2 Ta 0.2843 0.2843 0.0000
3 Ta 0.7157 0.7157 0.0000
4 V 0.0085 0.6366 0.3719
5 V 0.1390 0.8459 0.2931
6 V 0.2647 0.6366 0.6281
7 V 0.4471 0.1541 0.2931
8 V 0.5000 0.0000 0.5000
9 V 0.5529 0.8459 0.7069
10 V 0.7353 0.3634 0.3719
11 V 0.8610 0.1541 0.7069
12 V 0.9915 0.3634 0.6281
13 W 0.3361 0.5000 0.8361
14 W 0.6639 0.5000 0.1639

=====

Entry 14:
Below is a relaxed structure of TaV2W4, with properties calculated at the PBE level.

Results
crystal system	orthorhombic
V	16.0	Å³/atom
electronic total energy	-80.85	eV/cell
total moment	0.001	μB per cell
mass density	15.10	g/cm3
ΔH_f (0 K)	3.5	kcal/mol of atoms
offset from the most stable computed form	0.0	meV per atom

Lattice parameters (Å, degrees): 11.0517 11.0517 3.1529 90.00 90.00 163.10
Positions (direct):
1 Ta 0.0000 0.0000 0.0000
2 V 0.2893 0.7107 0.5000
3 V 0.7107 0.2893 0.5000
4 W 0.1479 0.8521 0.0000
5 W 0.4249 0.5751 0.5000
6 W 0.5751 0.4249 0.5000
7 W 0.8521 0.1479 0.0000

=====

Entry 15:
Below is a relaxed structure of Ta2VW2, with properties calculated at the PBE level.

Results
crystal system	orthorhombic
V	17.7	Å³/atom
electronic total energy	-113.54	eV/cell
total moment	0.000	μB per cell
mass density	14.66	g/cm3
ΔH_f (0 K)	9.0	kcal/mol of atoms
offset from the most stable computed form	0.0	meV per atom

Lattice parameters (Å, degrees): 6.7904 6.7904 6.7904 117.75 77.21 139.09
Positions (direct):
1 Ta 0.2314 0.1308 0.3622
2 Ta 0.2686 0.6308 0.8994
3 Ta 0.7314 0.3692 0.1006
4 Ta 0.7686 0.8692 0.6378
5 V 0.2500 0.7500 0.5000
6 V 0.7500 0.2500 0.5000
7 W 0.0658 0.8443 0.9101
8 W 0.4342 0.3443 0.7785
9 W 0.5658 0.6557 0.2215
10 W 0.9342 0.1557 0.0899

=====

Entry 16:
Below is a relaxed structure of Ta2VW, with properties calculated at the PBE level.

Results
crystal system	tetragonal
V	16.6	Å³/atom
electronic total energy	-45.94	eV/cell
total moment	0.002	μB per cell
mass density	14.96	g/cm3
ΔH_f (0 K)	-0.9	kcal/mol of atoms

Lattice parameters (Å, degrees): 4.5333 4.5333 3.2237 90.00 90.00 90.00
Positions (direct):
1 Ta 0.0000 0.5000 0.0000
2 Ta 0.5000 0.0000 0.0000
3 V 0.0000 0.0000 0.5000
4 W 0.5000 0.5000 0.5000

=====

Entry 17:
Below is a relaxed structure of TaVW3, with properties calculated at the PBE level.

Results
crystal system	orthorhombic
V	15.9	Å³/atom
electronic total energy	-120.45	eV/cell
total moment	0.000	μB per cell
mass density	16.33	g/cm3
ΔH_f (0 K)	-1.8	kcal/mol of atoms
offset from the most stable computed form	0.0	meV per atom

Lattice parameters (Å, degrees): 8.2176 8.2176 4.4914 90.00 90.00 148.30
Positions (direct):
1 Ta 0.0525 0.9475 0.7500
2 Ta 0.9475 0.0525 0.2500
3 V 0.2492 0.7508 0.7500
4 V 0.7508 0.2492 0.2500
5 W 0.1534 0.8466 0.2500
6 W 0.3457 0.6543 0.2500
7 W 0.4469 0.5531 0.7500
8 W 0.5531 0.4469 0.2500
9 W 0.6543 0.3457 0.7500
10 W 0.8466 0.1534 0.7500

=====

Entry 18:
Below is a relaxed structure of TaV3W2, with properties calculated at the PBE level.

Results
crystal system	orthorhombic
V	15.6	Å³/atom
electronic total energy	-256.41	eV/cell
total moment	0.000	μB per cell
mass density	12.47	g/cm3
ΔH_f (0 K)	3.9	kcal/mol of atoms

Lattice parameters (Å, degrees): 6.9446 3.1338 17.1655 90.00 90.00 90.00
Positions (direct):
1 Ta 0.0609 0.2500 0.0646
2 Ta 0.4391 0.7500 0.5646
3 Ta 0.5609 0.2500 0.4354
4 Ta 0.9391 0.7500 0.9354
5 V 0.0477 0.7500 0.6447
6 V 0.1388 0.2500 0.5185
7 V 0.1683 0.7500 0.7871
8 V 0.3317 0.2500 0.2871
9 V 0.3612 0.7500 0.0185
10 V 0.4523 0.2500 0.1447
11 V 0.5477 0.7500 0.8553
12 V 0.6388 0.2500 0.9815
13 V 0.6683 0.7500 0.7129
14 V 0.8317 0.2500 0.2129
15 V 0.8612 0.7500 0.4815
16 V 0.9523 0.2500 0.3553
17 W 0.1513 0.7500 0.1914
18 W 0.2396 0.7500 0.3992
19 W 0.2604 0.2500 0.8992
20 W 0.3487 0.2500 0.6914
21 W 0.6513 0.7500 0.3086
22 W 0.7396 0.7500 0.1008
23 W 0.7604 0.2500 0.6008
24 W 0.8487 0.2500 0.8086

=====

Entry 19:
Below is a relaxed structure of Ta3V8W, with properties calculated at the PBE level.

Results
crystal system	trigonal
V	14.9	Å³/atom
electronic total energy	-122.80	eV/cell
total moment	0.000	μB per cell
mass density	10.52	g/cm3
ΔH_f (0 K)	-2.6	kcal/mol of atoms

Lattice parameters (Å, degrees): 5.0552 5.0552 8.0890 90.00 90.00 120.00
Positions (direct):
1 Ta 0.0000 0.0000 0.0000
2 Ta 0.0000 0.0000 0.3782
3 Ta 0.3333 0.6667 0.8746
4 V 0.0060 0.5030 0.1911
5 V 0.3280 0.1640 0.6865
6 V 0.4970 0.5030 0.1911
7 V 0.4970 0.9940 0.1911
8 V 0.6667 0.3333 0.4390
9 V 0.6667 0.3333 0.9382
10 V 0.8360 0.1640 0.6865
11 V 0.8360 0.6720 0.6865
12 W 0.3333 0.6667 0.4997

=====

Entry 20:
Below is a relaxed structure of Ta2VW2, with properties calculated at the PBE level.

Results
crystal system	orthorhombic
V	17.3	Å³/atom
electronic total energy	-56.73	eV/cell
total moment	0.000	μB per cell
mass density	15.01	g/cm3
ΔH_f (0 K)	9.2	kcal/mol of atoms
offset from the most stable computed form	6.9	meV per atom

Lattice parameters (Å, degrees): 8.2205 8.2205 3.2371 90.00 90.00 156.74
Positions (direct):
1 Ta 0.0975 0.9025 0.0000
2 Ta 0.9025 0.0975 0.0000
3 V 0.5000 0.5000 0.5000
4 W 0.3115 0.6885 0.5000
5 W 0.6885 0.3115 0.5000